# 1
Li2Y2TmSn2 | PBE | relaxed

Cell lengths 4.758, 4.758, 9.245 Å; angles 75.09, 75.09, 60.00 degrees
Fractional positions:
Li 0.603 0.603 0.192
Li 0.397 0.397 0.808
Y 0.128 0.128 0.616
Y 0.872 0.872 0.384
Tm 0.000 0.000 0.000
Sn 0.735 0.735 0.795
Sn 0.265 0.265 0.205

Results
The crystal system is trigonal. Its calculated volume is 173.0 Å³/cell. For the formation energy, the calculation gives -0.447 eV/atom.

# 2
LiTmZnSn | PBE | relaxed

Cell lengths 4.947, 4.947, 4.947 Å; angles 60.00, 60.00, 60.00 degrees
Fractional positions:
Zn 0.750 0.750 0.750
Tm 0.000 0.000 0.000
Sn 0.250 0.250 0.250
Li 0.500 0.500 0.500

Results
The crystal system is cubic. Its calculated volume is 85.6 Å³/cell. For the formation energy, the calculation gives -0.411 eV/atom.

# 3
Li2TmZn2Sn2 | PBE | relaxed

Cell lengths 4.449, 4.449, 8.511 Å; angles 74.85, 74.85, 60.00 degrees
Fractional positions:
Li 0.141 0.141 0.576
Li 0.859 0.859 0.424
Tm 0.000 0.000 0.000
Zn 0.555 0.555 0.335
Zn 0.445 0.445 0.665
Sn 0.739 0.739 0.782
Sn 0.261 0.261 0.218

Results
The crystal system is trigonal. Its calculated volume is 139.1 Å³/cell. For the formation energy, the calculation gives -0.388 eV/atom.

# 4
LiUSn2 | PBE | relaxed

Cell lengths 4.267, 4.712, 4.712 Å; angles 90.00, 90.00, 90.00 degrees
Fractional positions:
U 0.500 0.500 0.500
Sn 0.000 0.000 0.500
Sn 0.000 0.500 0.000
Li 0.500 0.000 0.000

Results
The crystal system is tetragonal. Its calculated volume is 94.8 Å³/cell. For the formation energy, the calculation gives -0.123 eV/atom.

# 5
LiUSn2 | PBE | relaxed

Cell lengths 3.107, 3.107, 9.485 Å; angles 90.00, 90.00, 90.00 degrees
Fractional positions:
U 0.500 0.500 0.500
Sn 0.000 0.000 0.767
Sn 0.000 0.000 0.233
Li 0.500 0.500 0.000

Results
The crystal system is tetragonal. Its calculated volume is 91.6 Å³/cell. For the formation energy, the calculation gives -0.130 eV/atom.

# 6
LiUSn | PBE | relaxed

Cell lengths 3.040, 4.835, 8.922 Å; angles 90.00, 99.81, 90.00 degrees
Fractional positions:
Li 0.450 0.250 0.900
Li 0.550 0.750 0.100
Sn 0.897 0.750 0.795
Sn 0.103 0.250 0.205
U 0.767 0.250 0.535
U 0.233 0.750 0.465

Results
The crystal system is orthorhombic. Its calculated volume is 129.3 Å³/cell. For the formation energy, the calculation gives -0.121 eV/atom.

# 7
LiUSn2 | PBE | relaxed

Cell lengths 5.157, 5.157, 5.158 Å; angles 60.01, 60.01, 60.00 degrees
Fractional positions:
U 0.500 0.500 0.500
Sn 0.250 0.250 0.250
Sn 0.750 0.750 0.750
Li 0.000 0.000 0.000

Results
The crystal system is cubic. Its calculated volume is 97.0 Å³/cell. For the formation energy, the calculation gives -0.019 eV/atom.

# 8
LiV3Sn | PBE | relaxed

Cell lengths 4.219, 4.219, 4.219 Å; angles 90.00, 90.00, 90.00 degrees
Fractional positions:
V 0.000 0.500 0.000
V 0.000 0.000 0.500
V 0.500 0.000 0.000
Sn 0.500 0.500 0.500
Li 0.000 0.000 0.000

Results
The crystal system is cubic. Its calculated volume is 75.1 Å³/cell. For the formation energy, the calculation gives 0.843 eV/atom.